# 1
The following is a DFT calculation (PBE) of Ta17Ni12 after structural relaxation.

For the formation energy from the elements, the calculation gives -0.0521 eV per atom. The calculation puts the energy relative to the lowest polymorph listed for this composition at 0.0 meV/atom.

It has space group I-43m (No. 217), with a = 9.6446 Å, b = 9.6446 Å, c = 9.6446 Å, α = 90.00°, β = 90.00° and γ = 90.00°. Symmetry generates all atoms from Ta at (0.0000, 0.0000, 0.0000), Ta at (0.0989, 0.0989, 0.7009), Ta at (0.1795, 0.1795, 0.1795) and Ni at (0.0531, 0.3658, 0.6342).

***

# 2
The following is a DFT calculation (PBE) of Sm2GdSi2 after structural relaxation.

It has space group P4/mbm (No. 127), with a = 7.6173 Å, b = 7.6173 Å, c = 4.3075 Å, α = 90.00°, β = 90.00° and γ = 90.00°. Symmetry generates all atoms from Sm at (0.1770, 0.3230, 0.0000), Gd at (0.0000, 0.0000, 0.5000) and Si at (0.1140, 0.6140, 0.5000).

***

# 3
The following is a DFT calculation (PBE) of NdNbNi after structural relaxation.

For the formation energy from the elements, the calculation gives 1.2792 eV per atom. The calculation puts the energy relative to the lowest polymorph listed for this composition at 800.3 meV/atom.

It has space group F-43m (No. 216), with a = 6.4204 Å, b = 6.4204 Å, c = 6.4204 Å, α = 90.00°, β = 90.00° and γ = 90.00°. Symmetry generates all atoms from Nd at (0.0000, 0.0000, 0.0000), Nb at (0.2500, 0.2500, 0.7500) and Ni at (0.2500, 0.2500, 0.2500).

***

# 4
The following is a DFT calculation (PBE) of RbUTeAuSe2 after structural relaxation.

It has space group C2/m (No. 12), with a = 16.1768 Å, b = 4.2445 Å, c = 11.2209 Å, α = 90.00°, β = 90.05° and γ = 90.00°. Symmetry generates all atoms from Rb at (0.2290, 0.0000, 0.2500), U at (0.0000, 0.0000, 0.0000), U at (0.0000, 0.0000, 0.5000), Te at (0.0825, 0.0000, 0.7499), Au at (0.0299, 0.5000, 0.2500), Se at (0.1152, 0.5000, 0.0511) and Se at (0.1152, 0.5000, 0.4488).

***

# 5
The following is a DFT calculation (PBE) of GdTlAsO after structural relaxation.

The calculation puts the energy relative to the lowest polymorph listed for this composition at 347.1 meV/atom.

It has space group P4/nmm (No. 129, origin choice 2), with a = 5.7560 Å, b = 5.7560 Å, c = 5.1198 Å, α = 90.00°, β = 90.00° and γ = 90.00°. Symmetry generates all atoms from Gd at (0.2500, 0.7500, 0.0000), Tl at (0.2500, 0.2500, 0.4948), As at (0.2500, 0.2500, 0.9944) and O at (0.2500, 0.7500, 0.5000).

***

# 6
The following is a DFT calculation (PBE) of CdCo2W after structural relaxation.

For the formation energy from the elements, the calculation gives 0.2729 eV per atom.

It has space group P-1 (No. 2), with a = 4.3047 Å, b = 4.6288 Å, c = 5.7326 Å, α = 89.78°, β = 89.96° and γ = 89.91°. Symmetry generates all atoms from Cd at (0.2496, 0.1836, 0.0002), Co at (0.2496, 0.1531, 0.4999), Co at (0.2497, 0.6473, 0.2583) and W at (0.2507, 0.6476, 0.6634).

***

# 7
The following is a DFT calculation (PBE) of LaHfBe2Si2 after structural relaxation.

It has space group P-3m1 (No. 164), with a = 3.8174 Å, b = 3.8174 Å, c = 8.0730 Å, α = 90.00°, β = 90.00° and γ = 120.00°. Symmetry generates all atoms from La at (0.0000, 0.0000, 0.0000), Hf at (0.0000, 0.0000, 0.5000), Be at (0.3333, 0.6667, 0.2897) and Si at (0.3333, 0.6667, 0.7215).

***

# 8
The following is a DFT calculation (PBE) of TaSnAsO after structural relaxation.

The calculation puts the energy relative to the lowest polymorph listed for this composition at 420.6 meV/atom.

It has space group P4/nmm (No. 129, origin choice 2), with a = 4.0551 Å, b = 4.0551 Å, c = 10.1537 Å, α = 90.00°, β = 90.00° and γ = 90.00°. Symmetry generates all atoms from Ta at (0.2500, 0.7500, 0.0000), Sn at (0.2500, 0.2500, 0.3928), As at (0.2500, 0.2500, 0.8384) and O at (0.2500, 0.7500, 0.5000).

***

Respective uncorrected energy values: -9.304, -5.669, -5.529, -5.179, -5.223, -6.744, -6.135, -6.889 eV per atom.